Entry 1
Tl2FeCu: relaxed, PBE.

The crystal system is orthorhombic.

The space group is Imm2 (No. 44) and the conventional cell measures 3.088, 4.606 and 11.161 Å, with angles of 90.00, 90.00 and 90.00 degrees. The distinct sites, in fractional coordinates, are Tl at (0.000, 0.000, 0.000), Tl at (0.000, 0.500, 0.219), Fe at (0.000, 0.500, 0.735) and Cu at (0.000, 0.000, 0.414).

***

Entry 2
Tl2FeCu: relaxed, PBE.

The crystal system is orthorhombic.

The space group is Immm (No. 71) and the conventional cell measures 3.197, 5.590 and 9.011 Å, with angles of 90.00, 90.00 and 90.00 degrees. The distinct sites, in fractional coordinates, are Tl at (0.000, 0.000, 0.246), Fe at (0.000, 0.500, 0.000) and Cu at (0.000, 0.500, 0.500).

***

Entry 3
Tl2FeCu: relaxed, PBE.

The crystal system is cubic.

The space group is Fm-3m (No. 225) and the conventional cell measures 6.732, 6.732 and 6.732 Å, with angles of 90.00, 90.00 and 90.00 degrees. The distinct sites, in fractional coordinates, are Tl at (0.250, 0.250, 0.250), Fe at (0.000, 0.000, 0.000) and Cu at (0.000, 0.000, 0.500).

***

The least stable of them is entry 2.

***

Entry 1
Tl2Fe2Cu: relaxed, PBE.

The crystal system is tetragonal.

The space group is P4/mbm (No. 127) and the conventional cell measures 6.461, 6.461 and 4.205 Å, with angles of 90.00, 90.00 and 90.00 degrees. The distinct sites, in fractional coordinates, are Tl at (0.179, 0.321, 0.000), Fe at (0.127, 0.627, 0.500) and Cu at (0.000, 0.000, 0.500).

***

Entry 2
Tl2Fe2Cu: relaxed, PBE.

The crystal system is tetragonal.

The space group is P4/mbm (No. 127) and the conventional cell measures 7.711, 7.711 and 3.067 Å, with angles of 90.00, 90.00 and 90.00 degrees. The distinct sites, in fractional coordinates, are Tl at (0.185, 0.315, 0.000), Fe at (0.109, 0.609, 0.500) and Cu at (0.000, 0.000, 0.000).

***

Entry 3
Tl2Fe2Cu: relaxed, PBE.

The crystal system is tetragonal.

The space group is I4/mmm (No. 139) and the conventional cell measures 5.200, 5.200 and 7.225 Å, with angles of 90.00, 90.00 and 90.00 degrees. The distinct sites, in fractional coordinates, are Tl at (0.000, 0.500, 0.250), Fe at (0.000, 0.000, 0.152) and Cu at (0.000, 0.000, 0.500).

***

The least stable of them is entry 3.

***

Entry 1
VFeCu: relaxed, PBE.

The crystal system is monoclinic.

The space group is C2/m (No. 12) and the conventional cell measures 12.833, 2.792 and 3.973 Å, with angles of 90.00, 90.66 and 90.00 degrees. The distinct sites, in fractional coordinates, are V at (0.088, 0.000, 0.253), Fe at (0.069, 0.500, 0.753) and Cu at (0.235, 0.000, 0.751).

***

Entry 2
VFeCu: relaxed, PBE.

The crystal system is trigonal.

The space group is P3m1 (No. 156) and the conventional cell measures 4.0990, 4.0990 and 2.4804 Å, with angles of 90.00, 90.00 and 120.00 degrees. The distinct sites, in fractional coordinates, are V at (0.0000, 0.0000, 0.0000), Fe at (0.6667, 0.3333, 0.2548) and Cu at (0.3333, 0.6667, 0.6200).

***

Entry 3
VFeCu: relaxed, PBE.

The crystal system is tetragonal.

The space group is I4mm (No. 107) and the conventional cell measures 2.499, 2.499 and 11.761 Å, with angles of 90.00, 90.00 and 90.00 degrees. The distinct sites, in fractional coordinates, are V at (0.000, 0.000, 0.000), Fe at (0.000, 0.000, 0.332) and Cu at (0.000, 0.000, 0.671).

***

The least stable of them is entry 3.

***

Entry 1
VFe3Cu: relaxed, PBE.

The crystal system is cubic.

The space group is Pm-3m (No. 221) and the conventional cell measures 4.337, 4.337 and 4.337 Å, with angles of 90.00, 90.00 and 90.00 degrees. The distinct sites, in fractional coordinates, are V at (0.000, 0.000, 0.000), Fe at (0.000, 0.500, 0.500) and Cu at (0.500, 0.500, 0.500).

***

Entry 2
VFe3Cu: relaxed, PBE.

The crystal system is cubic.

The space group is Pm-3m (No. 221) and the conventional cell measures 4.225, 4.225 and 4.225 Å, with angles of 90.00, 90.00 and 90.00 degrees. The distinct sites, in fractional coordinates, are V at (0.000, 0.000, 0.000), Fe at (0.000, 0.000, 0.500) and Cu at (0.500, 0.500, 0.500).

***

The least stable of them is entry 1.

***

Entry 1
FeCuW2: relaxed, PBE.

The crystal system is trigonal.

The space group is R-3m (No. 166, hexagonal axes) and the conventional cell measures 2.7161, 2.7161 and 26.4779 Å, with angles of 90.00, 90.00 and 120.00 degrees. The distinct sites, in fractional coordinates, are Fe at (0.0000, 0.0000, 0.0000), Cu at (0.0000, 0.0000, 0.5000) and W at (0.0000, 0.0000, 0.2533).

***

Entry 2
FeCuW2: relaxed, PBE.

The crystal system is tetragonal.

The space group is I4/mmm (No. 139) and the conventional cell measures 3.839, 3.839 and 7.489 Å, with angles of 90.00, 90.00 and 90.00 degrees. The distinct sites, in fractional coordinates, are Fe at (0.000, 0.000, 0.000), Cu at (0.000, 0.000, 0.500) and W at (0.000, 0.500, 0.250).

***

Entry 3
FeCuW2: relaxed, PBE.

The crystal system is monoclinic.

The space group is Cm (No. 8) and the conventional cell measures 8.910, 2.646 and 4.805 Å, with angles of 90.00, 97.71 and 90.00 degrees. The distinct sites, in fractional coordinates, are Fe at (0.000, 0.000, 0.000), Cu at (0.242, 0.500, 0.242), W at (0.252, 0.000, 0.759) and W at (0.491, 0.000, 0.477).

***

Entry 4
FeCuW2: relaxed, PBE.

The crystal system is orthorhombic.

The space group is Cmm2 (No. 35) and the conventional cell measures 3.208, 4.269 and 8.343 Å, with angles of 90.00, 90.00 and 90.00 degrees. The distinct sites, in fractional coordinates, are Fe at (0.000, 0.000, 0.000), Cu at (0.000, 0.500, 0.770), W at (0.000, 0.000, 0.517) and W at (0.000, 0.500, 0.244).

***

The least stable of them is entry 1.

***

Entry 1
FeCuW2: relaxed, PBE.

The crystal system is tetragonal.

The space group is P4/mmm (No. 123) and the conventional cell measures 3.184, 3.184 and 5.491 Å, with angles of 90.00, 90.00 and 90.00 degrees. The distinct sites, in fractional coordinates, are Fe at (0.000, 0.000, 0.000), Cu at (0.000, 0.000, 0.500) and W at (0.500, 0.500, 0.244).

***

Entry 2
FeCuW2: relaxed, PBE.

The crystal system is cubic.

The space group is Fm-3m (No. 225) and the conventional cell measures 6.063, 6.063 and 6.063 Å, with angles of 90.00, 90.00 and 90.00 degrees. The distinct sites, in fractional coordinates, are Fe at (0.000, 0.000, 0.000), Cu at (0.000, 0.000, 0.500) and W at (0.250, 0.250, 0.250).

***

The least stable of them is entry 2.

***

Entry 1
FeCuW2: relaxed, PBE.

The crystal system is orthorhombic.

The space group is Pmm2 (No. 25) and the conventional cell measures 2.617, 3.979 and 5.444 Å, with angles of 90.00, 90.00 and 90.00 degrees. The distinct sites, in fractional coordinates, are Fe at (0.000, 0.000, 0.000), Cu at (0.500, 0.500, 0.773), W at (0.000, 0.000, 0.529) and W at (0.500, 0.500, 0.252).

***

Entry 2
FeCuW2: relaxed, PBE.

The crystal system is trigonal.

The space group is R3m (No. 160, hexagonal axes) and the conventional cell measures 2.7286, 2.7286 and 26.4700 Å, with angles of 90.00, 90.00 and 120.00 degrees. The distinct sites, in fractional coordinates, are Fe at (0.0000, 0.0000, 0.0000), Cu at (0.0000, 0.0000, 0.2556), W at (0.0000, 0.0000, 0.5038) and W at (0.0000, 0.0000, 0.7433).

***

The least stable of them is entry 2.

***

Entry 1
FeCuW2: relaxed, PBE.

The crystal system is monoclinic.

The space group is C2/m (No. 12) and the conventional cell measures 8.980, 2.610 and 4.952 Å, with angles of 90.00, 97.71 and 90.00 degrees. The distinct sites, in fractional coordinates, are Fe at (0.000, 0.000, 0.000), Cu at (0.000, 0.500, 0.500) and W at (0.249, 0.000, 0.750).

***

Entry 2
FeCuW2: relaxed, PBE.

The crystal system is tetragonal.

The space group is I-42d (No. 122) and the conventional cell measures 6.812, 6.812 and 5.155 Å, with angles of 90.00, 90.00 and 90.00 degrees. The distinct sites, in fractional coordinates, are Fe at (0.000, 0.000, 0.000), Cu at (0.000, 0.000, 0.500) and W at (0.215, 0.250, 0.125).

***

Entry 3
FeCuW2: relaxed, PBE.

The crystal system is tetragonal.

The space group is P4/mmm (No. 123) and the conventional cell measures 3.813, 3.813 and 3.774 Å, with angles of 90.00, 90.00 and 90.00 degrees. The distinct sites, in fractional coordinates, are Fe at (0.000, 0.000, 0.000), Cu at (0.500, 0.500, 0.000) and W at (0.000, 0.500, 0.500).

***

The least stable of them is entry 2.

***

Entry 1
FeCuW: relaxed, PBE.

The crystal system is tetragonal.

The space group is I4mm (No. 107) and the conventional cell measures 2.625, 2.625 and 11.692 Å, with angles of 90.00, 90.00 and 90.00 degrees. The distinct sites, in fractional coordinates, are Fe at (0.000, 0.000, 0.000), Cu at (0.000, 0.000, 0.347) and W at (0.000, 0.000, 0.675).

***

Entry 2
FeCuW: relaxed, PBE.

The crystal system is cubic.

The space group is F-43m (No. 216) and the conventional cell measures 5.710, 5.710 and 5.710 Å, with angles of 90.00, 90.00 and 90.00 degrees. The distinct sites, in fractional coordinates, are Fe at (0.000, 0.000, 0.000), Cu at (0.000, 0.000, 0.500) and W at (0.250, 0.250, 0.250).

***

Entry 3
FeCuW: relaxed, PBE.

The crystal system is orthorhombic.

The space group is Imm2 (No. 44) and the conventional cell measures 2.609, 3.837 and 7.792 Å, with angles of 90.00, 90.00 and 90.00 degrees. The distinct sites, in fractional coordinates, are Fe at (0.000, 0.000, 0.000), Cu at (0.000, 0.000, 0.339) and W at (0.000, 0.000, 0.670).

***

Entry 4
FeCuW: relaxed, PBE.

The crystal system is cubic.

The space group is F-43m (No. 216) and the conventional cell measures 5.611, 5.611 and 5.611 Å, with angles of 90.00, 90.00 and 90.00 degrees. The distinct sites, in fractional coordinates, are Fe at (0.000, 0.000, 0.000), Cu at (0.250, 0.250, 0.750) and W at (0.250, 0.250, 0.250).

***

The least stable of them is entry 2.

***

Entry 1
FeCuW: relaxed, PBE.

The crystal system is trigonal.

The space group is P3m1 (No. 156) and the conventional cell measures 4.2026, 4.2026 and 2.5732 Å, with angles of 90.00, 90.00 and 120.00 degrees. The distinct sites, in fractional coordinates, are Fe at (0.0000, 0.0000, 0.0000), Cu at (0.3333, 0.6667, 0.7688) and W at (0.6667, 0.3333, 0.3203).

***

Entry 2
FeCuW: relaxed, PBE.

The crystal system is orthorhombic.

The space group is Fmm2 (No. 42) and the conventional cell measures 3.254, 4.095 and 12.153 Å, with angles of 90.00, 90.00 and 90.00 degrees. The distinct sites, in fractional coordinates, are Fe at (0.000, 0.000, 0.000), Cu at (0.000, 0.000, 0.657) and W at (0.000, 0.000, 0.331).

***

The least stable of them is entry 2.

***

Entry 1
Fe2CuW2: relaxed, PBE.

The crystal system is tetragonal.

The space group is P4/mbm (No. 127) and the conventional cell measures 6.939, 6.939 and 2.814 Å, with angles of 90.00, 90.00 and 90.00 degrees. The distinct sites, in fractional coordinates, are Fe at (0.133, 0.367, 0.000), Cu at (0.000, 0.000, 0.000) and W at (0.166, 0.666, 0.500).

***

Entry 2
Fe2CuW2: relaxed, PBE.

The crystal system is tetragonal.

The space group is I4/mmm (No. 139) and the conventional cell measures 4.046, 4.046 and 9.313 Å, with angles of 90.00, 90.00 and 90.00 degrees. The distinct sites, in fractional coordinates, are Fe at (0.000, 0.000, 0.114), Cu at (0.000, 0.000, 0.500) and W at (0.000, 0.500, 0.250).

***

The least stable of them is entry 2.